(1)
Computed, not measured: Zr2ZnHg at its PBEsol-relaxed geometry at the meta-GGA SCAN level of DFT.

The total energy is -288.82 eV per cell. For the spin magnetization, the calculation gives 0.00 μB per formula unit. The value obtained for the formation enthalpy at 0 K is -0.33 eV per atom. For the offset from the most stable computed form, the calculation gives 0.27 kcal/mol of atoms.

The structure belongs to space group I4/mmm (No. 139); the cell edges are 4.317, 4.317 and 8.222 Å and the angles 90.00°, 90.00° and 90.00°. The asymmetric unit holds Zr at (0.000, 0.500, 0.250), Zn at (0.000, 0.000, 0.000) and Hg at (0.000, 0.000, 0.500).

---

(2)
Computed, not measured: ZrZnHg2 at its PBEsol-relaxed geometry at the meta-GGA SCAN level of DFT.

The total energy is -541.58 eV per cell. For the spin magnetization, the calculation gives 0.00 μB per formula unit. The value obtained for the formation enthalpy at 0 K is 0.00 eV per atom.

The structure belongs to space group R-3m (No. 166, hexagonal axes); the cell edges are 3.1165, 3.1165 and 28.1571 Å and the angles 90.00°, 90.00° and 120.00°. The asymmetric unit holds Zr at (0.0000, 0.0000, 0.0000), Zn at (0.0000, 0.0000, 0.5000) and Hg at (0.0000, 0.0000, 0.2451).

---

(3)
Computed, not measured: Zr2ZnHg at its PBEsol-relaxed geometry at the meta-GGA SCAN level of DFT.

The total energy is -144.46 eV per cell. For the spin magnetization, the calculation gives 0.00 μB per formula unit. The value obtained for the formation enthalpy at 0 K is -0.34 eV per atom. For the offset from the most stable computed form, the calculation gives 0.00 kcal/mol of atoms.

The structure belongs to space group P4/mmm (No. 123); the cell edges are 3.090, 3.090 and 7.988 Å and the angles 90.00°, 90.00° and 90.00°. The asymmetric unit holds Zr at (0.000, 0.000, 0.232), Zn at (0.500, 0.500, 0.000) and Hg at (0.500, 0.500, 0.500).

---

(4)
Computed, not measured: Zr2ZnHg at its PBEsol-relaxed geometry at the meta-GGA SCAN level of DFT.

The total energy is -143.81 eV per cell. For the spin magnetization, the calculation gives 0.00 μB per formula unit. The value obtained for the formation enthalpy at 0 K is -0.18 eV per atom. For the offset from the most stable computed form, the calculation gives 3.74 kcal/mol of atoms.

The structure belongs to space group Pmm2 (No. 25); the cell edges are 3.204, 4.015 and 6.117 Å and the angles 90.00°, 90.00° and 90.00°. The asymmetric unit holds Zr at (0.000, 0.000, 0.000), Zr at (0.500, 0.500, 0.272), Zn at (0.500, 0.500, 0.777) and Hg at (0.000, 0.000, 0.524).

---

(5)
Computed, not measured: Zr2ZnHg at its PBEsol-relaxed geometry at the meta-GGA SCAN level of DFT.

The total energy is -288.82 eV per cell. For the spin magnetization, the calculation gives 0.00 μB per formula unit. The value obtained for the formation enthalpy at 0 K is -0.33 eV per atom. For the offset from the most stable computed form, the calculation gives 0.28 kcal/mol of atoms.

The structure belongs to space group Cmmm (No. 65); the cell edges are 5.894, 8.119 and 3.215 Å and the angles 90.00°, 90.00° and 90.00°. The asymmetric unit holds Zr at (0.250, 0.250, 0.000), Zn at (0.000, 0.000, 0.500) and Hg at (0.000, 0.500, 0.500).

---

(6)
Computed, not measured: Zr2ZnHg at its PBEsol-relaxed geometry at the meta-GGA SCAN level of DFT.

The total energy is -577.64 eV per cell. For the spin magnetization, the calculation gives 0.00 μB per formula unit. The value obtained for the formation enthalpy at 0 K is -0.33 eV per atom. For the offset from the most stable computed form, the calculation gives 0.27 kcal/mol of atoms.

The structure belongs to space group Fm-3m (No. 225); the cell edges are 6.780, 6.780 and 6.780 Å and the angles 90.00°, 90.00° and 90.00°. The asymmetric unit holds Zr at (0.250, 0.250, 0.250), Zn at (0.000, 0.000, 0.000) and Hg at (0.000, 0.000, 0.500).

---

(7)
Computed, not measured: ZrZnHg2 at its PBEsol-relaxed geometry at the meta-GGA SCAN level of DFT.

The total energy is -181.38 eV per cell. For the spin magnetization, the calculation gives 0.00 μB per formula unit. The value obtained for the formation enthalpy at 0 K is -0.21 eV per atom.

The structure belongs to space group P4/mmm (No. 123); the cell edges are 4.239, 4.239 and 4.275 Å and the angles 90.00°, 90.00° and 90.00°. The asymmetric unit holds Zr at (0.000, 0.000, 0.000), Zn at (0.500, 0.500, 0.000) and Hg at (0.000, 0.500, 0.500).

---

(8)
Computed, not measured: Zr2Hg at its PBEsol-relaxed geometry at the meta-GGA SCAN level of DFT.

The total energy is -1031.06 eV per cell. For the spin magnetization, the calculation gives 0.00 μB per formula unit. The value obtained for the formation enthalpy at 0 K is 0.23 eV per atom.

The structure belongs to space group Fd-3m (No. 227, origin choice 2); the cell edges are 7.984, 7.984 and 7.984 Å and the angles 90.00°, 90.00° and 90.00°. The asymmetric unit holds Zr at (0.000, 0.000, 0.000) and Hg at (0.125, 0.125, 0.625).

---

(9)
Computed, not measured: ZrHg at its PBEsol-relaxed geometry at the meta-GGA SCAN level of DFT.

The total energy is -397.85 eV per cell. For the spin magnetization, the calculation gives 0.00 μB per formula unit. The value obtained for the formation enthalpy at 0 K is -0.30 eV per atom.

The structure belongs to space group Pnma (No. 62); the cell edges are 5.853, 4.839 and 5.915 Å and the angles 90.00°, 90.00° and 90.00°. The asymmetric unit holds Zr at (0.136, 0.250, 0.127) and Hg at (0.097, 0.250, 0.627).

---

(10)
Computed, not measured: Zr4Hg5 at its PBEsol-relaxed geometry at the meta-GGA SCAN level of DFT.

The total energy is -931.40 eV per cell. For the spin magnetization, the calculation gives 0.00 μB per formula unit. The value obtained for the formation enthalpy at 0 K is -0.23 eV per atom. For the offset from the most stable computed form, the calculation gives 1.44 kcal/mol of atoms.

The structure belongs to space group I4/mmm (No. 139); the cell edges are 9.547, 9.547 and 4.159 Å and the angles 90.00°, 90.00° and 90.00°. The asymmetric unit holds Zr at (0.000, 0.329, 0.000), Hg at (0.000, 0.000, 0.000) and Hg at (0.170, 0.170, 0.500).

---

(11)
Computed, not measured: Zr2Hg at its PBEsol-relaxed geometry at the meta-GGA SCAN level of DFT.

The total energy is -1042.25 eV per cell. For the spin magnetization, the calculation gives 0.00 μB per formula unit. The value obtained for the formation enthalpy at 0 K is -0.24 eV per atom.

The structure belongs to space group I4_1/amd (No. 141, origin choice 2); the cell edges are 4.298, 4.298 and 27.246 Å and the angles 90.00°, 90.00° and 90.00°. The asymmetric unit holds Zr at (0.000, 0.250, 0.119), Zr at (0.000, 0.250, 0.790) and Hg at (0.000, 0.250, 0.293).

---

(12)
Computed, not measured: ZrHg at its PBEsol-relaxed geometry at the meta-GGA SCAN level of DFT.

The total energy is -397.38 eV per cell. For the spin magnetization, the calculation gives 0.00 μB per formula unit. The value obtained for the formation enthalpy at 0 K is -0.24 eV per atom.

The structure belongs to space group I4_1/amd (No. 141, origin choice 2); the cell edges are 4.195, 4.195 and 9.421 Å and the angles 90.00°, 90.00° and 90.00°. The asymmetric unit holds Zr at (0.000, 0.250, 0.375) and Hg at (0.000, 0.250, 0.875).

---

(13)
Computed, not measured: Zr3Hg at its PBEsol-relaxed geometry at the meta-GGA SCAN level of DFT.

The total energy is -322.19 eV per cell. For the spin magnetization, the calculation gives 0.00 μB per formula unit. The value obtained for the formation enthalpy at 0 K is -0.21 eV per atom.

The structure belongs to space group Pmmn (No. 59, origin choice 2); the cell edges are 5.140, 6.028 and 5.478 Å and the angles 90.00°, 90.00° and 90.00°. The asymmetric unit holds Zr at (0.250, 0.000, 0.142), Zr at (0.250, 0.250, 0.640) and Hg at (0.250, 0.750, 0.656).

---

(14)
Computed, not measured: ZrHg3 at its PBEsol-relaxed geometry at the meta-GGA SCAN level of DFT.

The total energy is -235.66 eV per cell. For the spin magnetization, the calculation gives 0.00 μB per formula unit. The value obtained for the formation enthalpy at 0 K is -0.12 eV per atom.

The structure belongs to space group Pmm2 (No. 25); the cell edges are 3.243, 4.770 and 5.484 Å and the angles 90.00°, 90.00° and 90.00°. The asymmetric unit holds Zr at (0.000, 0.000, 0.000), Hg at (0.000, 0.500, 0.678), Hg at (0.500, 0.000, 0.501) and Hg at (0.500, 0.500, 0.172).